(1)
# Ni2BiC | Alexandria | PBE-GGA | relaxed
data_Ni2BiC
_symmetry_space_group_name_H-M 'I -4 2 d'
_symmetry_Int_Tables_number 122
_symmetry_space_group_name_Hall 'I -4 2bw'
_cell_length_a 4.653
_cell_length_b 4.653
_cell_length_c 11.486
_cell_angle_alpha 90.00
_cell_angle_beta 90.00
_cell_angle_gamma 90.00
loop_
_atom_site_label
_atom_site_fract_x
_atom_site_fract_y
_atom_site_fract_z
Ni1 0.067 0.250 0.125
Bi1 0.000 0.000 0.500
C1 0.000 0.000 0.000
# **Volume**: 248.7 Å³/cell
# **Calculated formation energy**: 0.446 eV/atom
# **Magnetic moment**: 0.00 μB/f.u.
# **Excess energy over the best structure of this formula in the dataset**: 0.0 kJ per mole of atoms



(2)
# Ni2Bi2C | Alexandria | PBE-GGA | relaxed
data_Ni2Bi2C
_symmetry_space_group_name_H-M 'P 4/m b m'
_symmetry_Int_Tables_number 127
_symmetry_space_group_name_Hall '-P 4 2ab'
_cell_length_a 6.977
_cell_length_b 6.977
_cell_length_c 3.765
_cell_angle_alpha 90.00
_cell_angle_beta 90.00
_cell_angle_gamma 90.00
loop_
_atom_site_label
_atom_site_fract_x
_atom_site_fract_y
_atom_site_fract_z
Ni1 0.120 0.380 0.000
Bi1 0.182 0.682 0.500
C1 0.000 0.000 0.500
# **Volume**: 183.2 Å³/cell
# **Calculated formation energy**: 1.202 eV/atom
# **Magnetic moment**: 0.53 μB/f.u.
# **Excess energy over the best structure of this formula in the dataset**: 11.9 kJ per mole of atoms



(3)
# Ni2BiC | Alexandria | PBE-GGA | relaxed
data_Ni2BiC
_symmetry_space_group_name_H-M 'F m -3 m'
_symmetry_Int_Tables_number 225
_symmetry_space_group_name_Hall '-F 4 2 3'
_cell_length_a 6.042
_cell_length_b 6.042
_cell_length_c 6.042
_cell_angle_alpha 90.00
_cell_angle_beta 90.00
_cell_angle_gamma 90.00
loop_
_atom_site_label
_atom_site_fract_x
_atom_site_fract_y
_atom_site_fract_z
Ni1 0.250 0.250 0.250
Bi1 0.000 0.000 0.000
C1 0.000 0.000 0.500
# **Volume**: 220.6 Å³/cell
# **Calculated formation energy**: 1.318 eV/atom
# **Magnetic moment**: 0.00 μB/f.u.
# **Excess energy over the best structure of this formula in the dataset**: 84.1 kJ per mole of atoms



(4)
# Ni2Bi2C | Alexandria | PBE-GGA | relaxed
data_Ni2Bi2C
_symmetry_space_group_name_H-M 'I 4/m m m'
_symmetry_Int_Tables_number 139
_symmetry_space_group_name_Hall '-I 4 2'
_cell_length_a 3.401
_cell_length_b 3.401
_cell_length_c 15.095
_cell_angle_alpha 90.00
_cell_angle_beta 90.00
_cell_angle_gamma 90.00
loop_
_atom_site_label
_atom_site_fract_x
_atom_site_fract_y
_atom_site_fract_z
Ni1 0.000 0.500 0.250
Bi1 0.000 0.000 0.104
C1 0.000 0.000 0.500
# **Volume**: 174.6 Å³/cell
# **Calculated formation energy**: 1.079 eV/atom
# **Magnetic moment**: 0.00 μB/f.u.
# **Excess energy over the best structure of this formula in the dataset**: 0.0 kJ per mole of atoms